Record 1
SrP2AuS: optimized geometry, PBE.

Cell and atoms, written as POSCAR:
```
SrP2AuS
1.0
4.8169 0.0000 0.0000
0.0000 4.8169 0.0000
0.0000 0.0000 5.2112
Sr S Au P
1 1 1 2
Direct
0.5000 0.5000 0.5000
0.0000 0.0000 0.5000
0.0000 0.0000 0.0000
0.0000 0.5000 0.0000
0.5000 0.0000 0.0000
```

Properties
Formation energy (no corrections)   0.042 eV/atom
SG   P4/mmm, No. 123

Record 2
SrPAuS2: optimized geometry, PBE.

Cell and atoms, written as POSCAR:
```
SrPAuS2
1.0
5.5855 0.0000 0.0000
0.0000 5.5855 0.0000
0.0000 0.0000 5.9660
Sr S Au P
1 2 1 1
Direct
0.0000 0.0000 0.0000
0.0000 0.5000 0.0000
0.5000 0.0000 0.0000
0.5000 0.5000 0.5000
0.0000 0.0000 0.5000
```

Properties
Formation energy (no corrections)   0.946 eV/atom
SG   P4/mmm, No. 123

Please write out number 1 again, unchanged.
SrP2AuS: optimized geometry, PBE.

Cell and atoms, written as POSCAR:
```
SrP2AuS
1.0
4.8169 0.0000 0.0000
0.0000 4.8169 0.0000
0.0000 0.0000 5.2112
Sr S Au P
1 1 1 2
Direct
0.5000 0.5000 0.5000
0.0000 0.0000 0.5000
0.0000 0.0000 0.0000
0.0000 0.5000 0.0000
0.5000 0.0000 0.0000
```

Properties
Formation energy (no corrections)   0.042 eV/atom
SG   P4/mmm, No. 123

Q: The highest formation energy (no corrections) belongs to which entry?
A: SrPAuS2

Q: Look up the formation energy (no corrections) of the second one.
A: 0.946 eV/atom

What did the first record say?
SrP2AuS: optimized geometry, PBE.

Cell and atoms, written as POSCAR:
```
SrP2AuS
1.0
4.8169 0.0000 0.0000
0.0000 4.8169 0.0000
0.0000 0.0000 5.2112
Sr S Au P
1 1 1 2
Direct
0.5000 0.5000 0.5000
0.0000 0.0000 0.5000
0.0000 0.0000 0.0000
0.0000 0.5000 0.0000
0.5000 0.0000 0.0000
```

Properties
Formation energy (no corrections)   0.042 eV/atom
SG   P4/mmm, No. 123